Compound: La6CoHg2O
Source: Alexandria
Functional: PBE+U
Structure: optimized geometry

Computed properties:
E = -4.6180 eV per atom
crystal system = orthorhombic
symmetry = No. 59

a = 7.344 Å, b = 10.728 Å, c = 7.344 Å
α = 90.00°, β = 90.00°, γ = 90.00°
Sites, in units of the cell vectors:
La: 0.001 0.250 0.005
La: 0.003 0.250 0.502
La: 0.250 0.519 0.265
La: 0.250 0.981 0.265
La: 0.497 0.250 0.502
La: 0.499 0.250 0.005
La: 0.501 0.750 0.995
La: 0.503 0.750 0.498
La: 0.750 0.019 0.735
La: 0.750 0.481 0.735
La: 0.997 0.750 0.498
La: 0.999 0.750 0.995
Co: 0.250 0.250 0.252
Co: 0.750 0.750 0.748
Hg: 0.250 0.001 0.752
Hg: 0.250 0.499 0.752
Hg: 0.750 0.501 0.248
Hg: 0.750 0.999 0.248
O: 0.250 0.750 0.236
O: 0.750 0.250 0.764